Record 1
3
Lattice="-2.5169 1.6912 -2.1999 -1.9200 -3.2057 -0.2677 -1.8962 2.7036 7.4376" Properties=species:S:1:pos:R:3 comment="PBE AcSmTm, optimized geometry" dos_at_fermi_per_ev_atom=1.46 formation_enthalpy_0k_ev_per_atom=0.061 pbc="T T T"
Ac -6.3194 1.1826 4.9492
Tm -2.6978 1.2762 4.0676
Sm -3.6491 -0.0805 0.9231

---

Record 2
28
Lattice="6.3111 0.0000 0.0000 0.0000 13.6156 4.3055 0.0000 4.4735 13.5613" Properties=species:S:1:pos:R:3 comment="PBE Ac2Sm4Tm, optimized geometry" dos_at_fermi_per_ev_atom=1.73 formation_enthalpy_0k_ev_per_atom=0.198 pbc="T T T"
Ac 3.1556 3.7410 3.6950
Ac 0.0000 5.7494 12.2695
Ac 0.0000 12.3397 5.5973
Ac 3.1556 14.3481 14.1718
Ac 3.1556 10.3205 7.6416
Ac 0.0000 12.7855 12.6284
Ac 3.1556 7.7686 10.2252
Ac 0.0000 5.3036 5.2384
Sm 0.0029 6.4872 8.8013
Sm 3.1602 5.2048 7.6238
Sm 0.0046 1.3570 3.8232
Sm 3.1585 4.3098 11.0058
Sm 3.1585 13.7793 6.8611
Sm 0.0046 16.7321 14.0436
Sm 3.1602 12.8843 10.2431
Sm 0.0029 11.6019 9.0655
Sm 3.1527 11.0582 4.1734
Sm 6.3065 14.2494 16.5572
Sm 3.1510 10.4016 12.7566
Sm 6.3082 8.8808 6.3779
Sm 6.3082 9.2083 11.4890
Sm 3.1510 7.6875 5.1102
Sm 6.3065 3.8397 1.3097
Sm 3.1527 7.0309 13.6934
Tm 1.5847 2.2368 6.7807
Tm 4.7402 2.2368 6.7807
Tm 4.7265 6.8078 2.1528
Tm 1.5709 6.8078 2.1528

---

Record 3
9
Lattice="-0.3613 -2.8178 2.3228 8.8406 -0.8422 0.3577 -1.8213 6.5617 7.6708" Properties=species:S:1:pos:R:3 comment="PBE Ac2Sm6Tm, optimized geometry" dos_at_fermi_per_ev_atom=1.56 formation_enthalpy_0k_ev_per_atom=0.125 pbc="T T T"
Ac 5.1044 1.0246 4.9361
Ac 1.5536 1.8771 5.4152
Sm 2.9061 1.0995 1.7875
Sm -1.0890 4.4256 5.1972
Sm 3.7519 1.8022 8.5639
Sm 0.9606 4.2403 8.1881
Sm 7.7470 -1.5239 5.1542
Sm 5.6974 -1.3386 2.1633
Tm 0.0000 0.0000 0.0000